PBE-GGA PmSm7Er3, optimized geometry; D(E_F) = 16.11 states/eV per cell; final energy = -48.9 eV/cell; energy relative to the elements = 0.233 eV per atom; energy above the most stable polymorph in this dataset = 56 meV per atom
1.0
-5.4995 1.1199 -1.7114
0.5434 0.2462 8.4850
4.4458 7.2332 0.5168
Pm Sm Er
1 7 3
direct
0.5000 0.5000 0.5000 Pm
0.2099 0.2091 0.2091 Sm
0.3034 0.0100 0.5972 Sm
0.6966 0.4028 0.9900 Sm
0.3034 0.5972 0.0100 Sm
0.0000 0.5000 0.5000 Sm
0.6966 0.9900 0.4028 Sm
0.7901 0.7909 0.7909 Sm
0.0000 0.7981 0.2019 Er
0.5000 0.0000 0.0000 Er
0.0000 0.2019 0.7981 Er